Below is a crystal of LaOsS2Cl relaxed with PBEsol, with properties calculated at the SCAN level.

abc: 5.458 5.458 5.313
angles: 90.00 90.00 90.00
Space group P4/mmm (No. 123)
Symmetry-distinct sites (fractional):
La 0.000 0.000 0.000 x1
Os 0.500 0.500 0.500 x1
S 0.000 0.500 0.000 x2
Cl 0.000 0.000 0.500 x1

Values from the calculation:
formation energy from raw total energies: 440 meV per atom
VASP energy: -140.0 eV for the cell shown
D(E_F): 5.295 states/eV/f.u.
total magnetic moment: 4.9 μB per cell


Below is a crystal of SiRuPb relaxed with PBEsol, with properties calculated at the SCAN level.

abc: 6.091 6.091 6.091
angles: 90.00 90.00 90.00
Space group F-43m (No. 216)
Symmetry-distinct sites (fractional):
Si 0.000 0.000 0.000 x4
Ru 0.250 0.250 0.250 x4
Pb 0.250 0.250 0.750 x4

Values from the calculation:
formation energy from raw total energies: 687 meV per atom
VASP energy: -474.3 eV for the cell shown
D(E_F): 3.115 states/eV/f.u.
total magnetic moment: 0.0 μB per cell


Below is a crystal of LiMg relaxed with PBEsol, with properties calculated at the SCAN level.

abc: 3.007 4.651 5.956
angles: 90.00 104.16 90.00
Space group P2_1/m (No. 11)
Symmetry-distinct sites (fractional):
Li 0.001 0.250 0.374 x2
Mg 0.335 0.750 0.140 x2

Values from the calculation:
formation enthalpy at 0 K: -0.045 eV per atom
VASP energy: -14.9 eV for the cell shown
D(E_F): 0.764 states/eV/f.u.
total magnetic moment: 0.0 μB per cell


Below is a crystal of ZrTe2Os relaxed with PBEsol, with properties calculated at the SCAN level.

abc: 3.413 3.413 6.700
angles: 90.00 90.00 90.00
Space group P4/mmm (No. 123)
Symmetry-distinct sites (fractional):
Zr 0.000 0.000 0.000 x1
Te 0.500 0.500 0.255 x2
Os 0.000 0.000 0.500 x1

Values from the calculation:
formation energy from raw total energies: 223 meV per atom
E above lowest polymorph: 0.0000 eV per atom
VASP energy: -176.2 eV for the cell shown
D(E_F): 3.114 states/eV/f.u.
total magnetic moment: 0.0 μB per cell


Below is a crystal of Al2Cu relaxed with PBEsol, with properties calculated at the SCAN level.

abc: 5.726 5.726 5.726
angles: 90.00 90.00 90.00
Space group Fm-3m (No. 225)
Symmetry-distinct sites (fractional):
Al 0.250 0.250 0.250 x8
Cu 0.000 0.000 0.000 x4

Values from the calculation:
formation enthalpy at 0 K: -0.257 eV per atom
VASP energy: -125.9 eV for the cell shown
D(E_F): 0.853 states/eV/f.u.
total magnetic moment: 0.0 μB per cell


Below is a crystal of BeSbAs2 relaxed with PBEsol, with properties calculated at the SCAN level.

abc: 3.757 3.757 10.696
angles: 90.00 90.00 90.00
Space group I4/mmm (No. 139)
Symmetry-distinct sites (fractional):
Be 0.000 0.000 0.000 x2
Sb 0.000 0.000 0.500 x2
As 0.000 0.500 0.250 x4

Values from the calculation:
formation energy from raw total energies: 594 meV per atom
E above lowest polymorph: 0.5922 eV per atom
VASP energy: -159.2 eV for the cell shown
D(E_F): 1.843 states/eV/f.u.
total magnetic moment: 0.0 μB per cell


Below is a crystal of Li5Mn3O5F3 relaxed with PBEsol, with properties calculated at the SCAN level.

abc: 5.686 5.828 5.952
angles: 118.36 117.60 91.15
Space group P1 (No. 1)
Symmetry-distinct sites (fractional):
Li 0.000 0.000 0.000 x1
Li 0.009 0.526 0.014 x1
Li 0.021 0.517 0.518 x1
Li 0.523 0.009 0.014 x1
Li 0.533 0.531 0.544 x1
Mn 0.004 0.005 0.490 x1
Mn 0.520 0.020 0.523 x1
Mn 0.526 0.527 0.019 x1
O 0.267 0.800 0.520 x1
O 0.287 0.258 0.552 x1
O 0.753 0.783 0.501 x1
O 0.762 0.764 0.011 x1
O 0.774 0.243 0.529 x1
F 0.237 0.766 0.984 x1
F 0.289 0.286 0.063 x1
F 0.801 0.273 0.060 x1

Values from the calculation:
formation energy from raw total energies: -2459 meV per atom
VASP energy: -147.8 eV for the cell shown
D(E_F): 0.397 states/eV/f.u.
total magnetic moment: 13.0 μB per cell


Below is a crystal of BaSc2Ni relaxed with PBEsol, with properties calculated at the SCAN level.

abc: 4.885 4.885 3.736
angles: 90.00 90.00 90.00
Space group P4/mmm (No. 123)
Symmetry-distinct sites (fractional):
Ba 0.000 0.000 0.000 x1
Sc 0.000 0.500 0.500 x2
Ni 0.500 0.500 0.000 x1

Values from the calculation:
formation enthalpy at 0 K: 0.585 eV per atom
E above lowest polymorph: 0.6207 eV per atom
VASP energy: -81.9 eV for the cell shown
D(E_F): 3.876 states/eV/f.u.
total magnetic moment: 0.0 μB per cell


Below is a crystal of CaTe2NCl relaxed with PBEsol, with properties calculated at the SCAN level.

abc: 5.795 5.795 3.490
angles: 90.00 90.00 90.00
Space group P4/mmm (No. 123)
Symmetry-distinct sites (fractional):
Ca 0.000 0.000 0.000 x1
Te 0.000 0.500 0.500 x2
N 0.500 0.500 0.000 x1
Cl 0.500 0.500 0.500 x1

Values from the calculation:
formation energy from raw total energies: 654 meV per atom
VASP energy: -98.2 eV for the cell shown
D(E_F): 2.850 states/eV/f.u.
total magnetic moment: 0.0 μB per cell


Below is a crystal of AlPbW relaxed with PBEsol, with properties calculated at the SCAN level.

abc: 4.7202 4.7202 2.9318
angles: 90.00 90.00 120.00
Space group P-6m2 (No. 187)
Symmetry-distinct sites (fractional):
Al 0.0000 0.0000 0.0000 x1
Pb 0.3333 0.6667 0.5000 x1
W 0.6667 0.3333 0.0000 x1

Values from the calculation:
formation enthalpy at 0 K: 0.873 eV per atom
VASP energy: -150.6 eV for the cell shown
D(E_F): 2.124 states/eV/f.u.
total magnetic moment: 0.0 μB per cell


Below is a crystal of Fe3SnHg relaxed with PBEsol, with properties calculated at the SCAN level.

abc: 4.704 4.704 4.704
angles: 90.00 90.00 90.00
Space group Pm-3m (No. 221)
Symmetry-distinct sites (fractional):
Fe 0.000 0.000 0.500 x3
Sn 0.000 0.000 0.000 x1
Hg 0.500 0.500 0.500 x1

Values from the calculation:
formation enthalpy at 0 K: 1.314 eV per atom
VASP energy: -151.9 eV for the cell shown
D(E_F): 5.711 states/eV/f.u.
total magnetic moment: 9.6 μB per cell


Below is a crystal of CsCeCuS3 relaxed with PBEsol, with properties calculated at the SCAN level.

abc: 3.995 15.000 10.317
angles: 90.00 90.00 90.00
Space group Cmcm (No. 63)
Symmetry-distinct sites (fractional):
Cs 0.000 0.241 0.250 x4
Ce 0.000 0.500 0.000 x4
Cu 0.000 0.032 0.750 x4
S 0.000 0.114 0.564 x8
S 0.000 0.447 0.750 x4

Values from the calculation:
formation energy from raw total energies: -1610 meV per atom
VASP energy: -544.5 eV for the cell shown
total magnetic moment: 0.0 μB per cell


Below is a crystal of PtAu2C relaxed with PBEsol, with properties calculated at the SCAN level.

abc: 8.081 8.081 3.939
angles: 90.00 90.00 90.00
Space group I-42d (No. 122)
Symmetry-distinct sites (fractional):
Pt 0.000 0.000 0.000 x4
Au 0.131 0.750 0.625 x8
C 0.000 0.000 0.500 x4

Values from the calculation:
formation enthalpy at 0 K: 0.868 eV per atom
VASP energy: -860.5 eV for the cell shown
D(E_F): 1.994 states/eV/f.u.
total magnetic moment: 0.0 μB per cell


Below is a crystal of LaSc3P relaxed with PBEsol, with properties calculated at the SCAN level.

abc: 5.000 5.000 5.000
angles: 90.00 90.00 90.00
Space group Pm-3m (No. 221)
Symmetry-distinct sites (fractional):
La 0.000 0.000 0.000 x1
Sc 0.000 0.500 0.500 x3
P 0.500 0.500 0.500 x1

Values from the calculation:
formation enthalpy at 0 K: -0.454 eV per atom
VASP energy: -98.5 eV for the cell shown
D(E_F): 9.615 states/eV/f.u.
total magnetic moment: 0.0 μB per cell


Below is a crystal of RbNaNb3 relaxed with PBEsol, with properties calculated at the SCAN level.

abc: 4.965 4.965 4.965
angles: 90.00 90.00 90.00
Space group Pm-3m (No. 221)
Symmetry-distinct sites (fractional):
Rb 0.000 0.000 0.000 x1
Na 0.500 0.500 0.500 x1
Nb 0.000 0.500 0.500 x3

Values from the calculation:
formation enthalpy at 0 K: 2.498 eV per atom
VASP energy: -111.9 eV for the cell shown
D(E_F): 3.405 states/eV/f.u.
total magnetic moment: 0.0 μB per cell


Below is a crystal of LiInTe relaxed with PBEsol, with properties calculated at the SCAN level.

abc: 7.291 7.291 7.291
angles: 90.00 90.00 90.00
Space group F-43m (No. 216)
Symmetry-distinct sites (fractional):
Li 0.000 0.000 0.000 x4
In 0.000 0.000 0.500 x4
Te 0.250 0.250 0.750 x4

Values from the calculation:
formation energy from raw total energies: -373 meV per atom
E above lowest polymorph: 0.0000 eV per atom
VASP energy: -296.6 eV for the cell shown
D(E_F): 0.193 states/eV/f.u.
total magnetic moment: 0.0 μB per cell


Below is a crystal of ZrSnTeI2 relaxed with PBEsol, with properties calculated at the SCAN level.

abc: 5.687 5.687 5.757
angles: 90.00 90.00 90.00
Space group P4/mmm (No. 123)
Symmetry-distinct sites (fractional):
Zr 0.000 0.000 0.000 x1
Sn 0.500 0.500 0.500 x1
Te 0.500 0.500 0.000 x1
I 0.000 0.500 0.500 x2

Values from the calculation:
formation energy from raw total energies: 488 meV per atom
VASP energy: -174.9 eV for the cell shown
D(E_F): 1.444 states/eV/f.u.
total magnetic moment: 2.2 μB per cell


Below is a crystal of MgPd2Br relaxed with PBEsol, with properties calculated at the SCAN level.

abc: 6.460 6.460 6.460
angles: 90.00 90.00 90.00
Space group Fm-3m (No. 225)
Symmetry-distinct sites (fractional):
Mg 0.000 0.000 0.000 x4
Pd 0.250 0.250 0.250 x8
Br 0.000 0.000 0.500 x4

Values from the calculation:
formation energy from raw total energies: -141 meV per atom
VASP energy: -362.2 eV for the cell shown
D(E_F): 0.642 states/eV/f.u.
total magnetic moment: 0.0 μB per cell


Below is a crystal of Be2CdOs relaxed with PBEsol, with properties calculated at the SCAN level.

abc: 3.590 3.043 8.794
angles: 90.00 90.00 90.00
Space group Amm2 (No. 38)
Symmetry-distinct sites (fractional):
Be 0.000 0.000 0.000 x2
Be 0.500 0.000 0.142 x2
Cd 0.500 0.000 0.409 x2
Os 0.000 0.000 0.699 x2

Values from the calculation:
formation enthalpy at 0 K: 0.133 eV per atom
VASP energy: -220.9 eV for the cell shown
D(E_F): 1.648 states/eV/f.u.
total magnetic moment: 0.0 μB per cell


Below is a crystal of SbPIrO2 relaxed with PBEsol, with properties calculated at the SCAN level.

abc: 3.866 3.866 4.933
angles: 90.00 90.00 90.00
Space group P4/mmm (No. 123)
Symmetry-distinct sites (fractional):
Sb 0.000 0.000 0.000 x1
P 0.500 0.500 0.000 x1
Ir 0.500 0.500 0.500 x1
O 0.000 0.500 0.500 x2

Values from the calculation:
formation energy from raw total energies: -72 meV per atom
E above lowest polymorph: 0.0000 eV per atom
VASP energy: -131.6 eV for the cell shown
D(E_F): 5.104 states/eV/f.u.
total magnetic moment: 0.0 μB per cell


Below is a crystal of K2SiAu relaxed with PBEsol, with properties calculated at the SCAN level.

abc: 3.748 4.969 5.515
angles: 90.00 90.00 90.00
Space group Pmmm (No. 47)
Symmetry-distinct sites (fractional):
K 0.000 0.000 0.249 x2
Si 0.500 0.500 0.500 x1
Au 0.500 0.500 0.000 x1

Values from the calculation:
formation energy from raw total energies: 178 meV per atom
VASP energy: -95.1 eV for the cell shown
D(E_F): 1.789 states/eV/f.u.
total magnetic moment: 0.0 μB per cell


Below is a crystal of LaNi2Au2 relaxed with PBEsol, with properties calculated at the SCAN level.

abc: 4.013 4.013 11.431
angles: 90.00 90.00 90.00
Space group I4/mmm (No. 139)
Symmetry-distinct sites (fractional):
La 0.000 0.000 0.000 x2
Ni 0.000 0.500 0.250 x4
Au 0.000 0.000 0.383 x4

Values from the calculation:
formation enthalpy at 0 K: -0.363 eV per atom
VASP energy: -431.2 eV for the cell shown
D(E_F): 3.305 states/eV/f.u.
total magnetic moment: 0.0 μB per cell


Below is a crystal of SrCa2ReF relaxed with PBEsol, with properties calculated at the SCAN level.

abc: 6.246 6.246 4.223
angles: 90.00 90.00 90.00
Space group P4/mmm (No. 123)
Symmetry-distinct sites (fractional):
Sr 0.000 0.000 0.000 x1
Ca 0.000 0.500 0.000 x2
Re 0.500 0.500 0.500 x1
F 0.000 0.000 0.500 x1

Values from the calculation:
formation energy from raw total energies: 574 meV per atom
VASP energy: -113.4 eV for the cell shown
D(E_F): 3.090 states/eV/f.u.
total magnetic moment: 3.2 μB per cell


Below is a crystal of BaY3I relaxed with PBEsol, with properties calculated at the SCAN level.

abc: 5.742 5.742 5.742
angles: 90.00 90.00 90.00
Space group Pm-3m (No. 221)
Symmetry-distinct sites (fractional):
Ba 0.000 0.000 0.000 x1
Y 0.000 0.000 0.500 x3
I 0.500 0.500 0.500 x1

Values from the calculation:
formation energy from raw total energies: 1023 meV per atom
VASP energy: -154.7 eV for the cell shown
D(E_F): 3.867 states/eV/f.u.
total magnetic moment: 0.0 μB per cell


Below is a crystal of CsRb2DyCl6 relaxed with PBEsol, with properties calculated at the SCAN level.

abc: 11.587 11.587 11.587
angles: 90.00 90.00 90.00
Space group Fm-3m (No. 225)
Symmetry-distinct sites (fractional):
Cs 0.000 0.000 0.000 x4
Rb 0.250 0.250 0.250 x8
Dy 0.000 0.000 0.500 x4
Cl 0.000 0.000 0.276 x24

Values from the calculation:
formation energy from raw total energies: -2276 meV per atom
VASP energy: -790.8 eV for the cell shown
D(E_F): 0.000 states/eV/f.u.
total magnetic moment: 0.0 μB per cell


Below is a crystal of TlAsIr2 relaxed with PBEsol, with properties calculated at the SCAN level.

abc: 4.291 4.291 3.576
angles: 90.00 90.00 90.00
Space group P4/mmm (No. 123)
Symmetry-distinct sites (fractional):
Tl 0.000 0.000 0.000 x1
As 0.500 0.500 0.000 x1
Ir 0.000 0.500 0.500 x2

Values from the calculation:
formation enthalpy at 0 K: 0.594 eV per atom
E above lowest polymorph: 0.2906 eV per atom
VASP energy: -232.4 eV for the cell shown
D(E_F): 1.692 states/eV/f.u.
total magnetic moment: 0.0 μB per cell


Below is a crystal of LaY2Rh relaxed with PBEsol, with properties calculated at the SCAN level.

abc: 3.664 5.380 10.559
angles: 90.00 90.00 90.00
Space group Imm2 (No. 44)
Symmetry-distinct sites (fractional):
La 0.000 0.000 0.000 x2
Y 0.000 0.000 0.397 x2
Y 0.000 0.500 0.200 x2
Rh 0.000 0.500 0.700 x2

Values from the calculation:
formation enthalpy at 0 K: -0.465 eV per atom
E above lowest polymorph: 0.0154 eV per atom
VASP energy: -268.8 eV for the cell shown
D(E_F): 3.021 states/eV/f.u.
total magnetic moment: 0.0 μB per cell


Below is a crystal of LiCuNi2 relaxed with PBEsol, with properties calculated at the SCAN level.

abc: 2.559 4.090 8.230
angles: 90.00 90.00 90.00
Space group Imm2 (No. 44)
Symmetry-distinct sites (fractional):
Li 0.000 0.000 0.000 x2
Cu 0.000 0.500 0.245 x2
Ni 0.000 0.000 0.495 x2
Ni 0.000 0.500 0.755 x2

Values from the calculation:
formation enthalpy at 0 K: 0.095 eV per atom
VASP energy: -99.1 eV for the cell shown
D(E_F): 3.384 states/eV/f.u.
total magnetic moment: 1.5 μB per cell